The following is a DFT calculation (PBE-GGA) of crystalline Ti3CuW at its relaxed geometry.

a = 4.4947 Å, b = 4.4947 Å, c = 4.4947 Å
α = 90.00°, β = 90.00°, γ = 90.00°
Last column: nearest neighbours and their distance in Å.
Positions (direct):
1 Cu 0.0000 0.0000 0.0000  6 Ti 2.25
2 W 0.5000 0.5000 0.5000  12 Ti 3.18
3 Ti 0.0000 0.5000 0.0000  2 Cu 2.25
4 Ti 0.0000 0.0000 0.5000  2 Cu 2.25
5 Ti 0.5000 0.0000 0.0000  2 Cu 2.25

Computed properties:
SG: No. 221
Total magnetization, μB/cell: 0.00
Energy above the lowest structure with this stoichiometry, eV/atom: 0.0000
Energy of formation from the pure elements, eV/atom: 0.99
Calculated total energy, eV per atom: -7.16